[1]
The following is a DFT calculation (PBE) of a geometry-optimized LaTbYAl structure.

Values from the calculation:
Total moment, μB per formula unit: 0.96
Energy relative to the elements, eV per atom: -0.061
Energy above the lowest structure with this stoichiometry, eV per atom: 0.1315

Lattice parameters (Å, degrees): 5.4596 5.4596 5.4596 60.00 60.00 60.00
Atoms (fractional coordinates):
La (0.0000, 0.0000, 0.0000)
Tb (0.2500, 0.2500, 0.2500)
Y (0.5000, 0.5000, 0.5000)
Al (0.7500, 0.7500, 0.7500)

***

[2]
The following is a DFT calculation (PBE) of a geometry-optimized LaTbAl2Zn2 structure.

Values from the calculation:
Total moment, μB per formula unit: 0.00
Energy relative to the elements, eV per atom: -0.447

Lattice parameters (Å, degrees): 4.5397 4.5397 7.5794 90.00 90.00 120.00
Atoms (fractional coordinates):
La (0.0000, 0.0000, 0.0000)
Tb (0.0000, 0.0000, 0.5000)
Al (0.3333, 0.6667, 0.7234)
Al (0.6667, 0.3333, 0.2766)
Zn (0.3333, 0.6667, 0.2869)
Zn (0.6667, 0.3333, 0.7131)

***

[3]
The following is a DFT calculation (PBE) of a geometry-optimized LaTb2Al2Zn2 structure.

Values from the calculation:
Total moment, μB per formula unit: 0.00
Energy relative to the elements, eV per atom: -0.316

Lattice parameters (Å, degrees): 9.7787 9.7787 9.7787 26.97 26.97 26.97
Atoms (fractional coordinates):
La (0.0000, 0.0000, 0.0000)
Tb (0.1297, 0.1297, 0.1297)
Tb (0.8703, 0.8703, 0.8703)
Al (0.2579, 0.2579, 0.2579)
Al (0.7421, 0.7421, 0.7421)
Zn (0.4082, 0.4082, 0.4082)
Zn (0.5918, 0.5918, 0.5918)

***

[4]
The following is a DFT calculation (PBE) of a geometry-optimized LaAlTc3 structure.

Values from the calculation:
Total moment, μB per formula unit: 2.66
Energy relative to the elements, eV per atom: 0.804
Energy above the lowest structure with this stoichiometry, eV per atom: 0.0000

Lattice parameters (Å, degrees): 4.6510 4.6510 4.6510 90.00 90.00 90.00
Atoms (fractional coordinates):
La (0.0000, 0.0000, 0.0000)
Al (0.5000, 0.5000, 0.5000)
Tc (0.0000, 0.5000, 0.5000)
Tc (0.5000, 0.0000, 0.5000)
Tc (0.5000, 0.5000, 0.0000)

***

[5]
The following is a DFT calculation (PBE) of a geometry-optimized La3Al9Tc2 structure.

Values from the calculation:
Total moment, μB per formula unit: 0.00
Energy relative to the elements, eV per atom: -0.433

Lattice parameters (Å, degrees): 8.4207 8.4207 8.4207 149.21 108.89 79.47
Atoms (fractional coordinates):
La (0.0000, 0.0000, 0.0000)
La (0.3009, 0.3009, 0.0000)
La (0.6991, 0.6991, 0.0000)
Al (0.0062, 0.6502, 0.3560)
Al (0.1629, 0.8806, 0.2823)
Al (0.2942, 0.6502, 0.6440)
Al (0.4017, 0.1194, 0.2823)
Al (0.5000, 0.0000, 0.5000)
Al (0.5983, 0.8806, 0.7177)
Al (0.7058, 0.3498, 0.3560)
Al (0.8371, 0.1194, 0.7177)
Al (0.9938, 0.3498, 0.6440)
Tc (0.3223, 0.5000, 0.8223)
Tc (0.6777, 0.5000, 0.1777)

***

[6]
The following is a DFT calculation (PBE) of a geometry-optimized LaAl2Tc structure.

Values from the calculation:
Total moment, μB per formula unit: 0.07
Energy relative to the elements, eV per atom: 0.047
Energy above the lowest structure with this stoichiometry, eV per atom: 0.3645

Lattice parameters (Å, degrees): 2.9647 2.9647 9.5217 90.00 90.00 111.30
Atoms (fractional coordinates):
La (0.0000, 0.0000, 0.0000)
Al (0.5000, 0.5000, 0.2974)
Al (0.5000, 0.5000, 0.7026)
Tc (0.0000, 0.0000, 0.5000)

***

[7]
The following is a DFT calculation (PBE) of a geometry-optimized La2Al2Tc structure.

Values from the calculation:
Total moment, μB per formula unit: 0.00
Energy relative to the elements, eV per atom: -0.054

Lattice parameters (Å, degrees): 6.9572 6.9572 4.8863 90.00 90.00 90.00
Atoms (fractional coordinates):
La (0.1720, 0.3280, 0.0000)
La (0.3280, 0.8280, 0.0000)
La (0.6720, 0.1720, 0.0000)
La (0.8280, 0.6720, 0.0000)
Al (0.1419, 0.6419, 0.5000)
Al (0.3581, 0.1419, 0.5000)
Al (0.6419, 0.8581, 0.5000)
Al (0.8581, 0.3581, 0.5000)
Tc (0.0000, 0.0000, 0.5000)
Tc (0.5000, 0.5000, 0.5000)

***

[8]
The following is a DFT calculation (PBE) of a geometry-optimized LaAl2Tc structure.

Values from the calculation:
Total moment, μB per formula unit: 0.00
Energy relative to the elements, eV per atom: -0.050
Energy above the lowest structure with this stoichiometry, eV per atom: 0.2674

Lattice parameters (Å, degrees): 5.0072 5.0072 5.0072 126.76 126.76 78.63
Atoms (fractional coordinates):
La (0.0000, 0.0000, 0.0000)
Al (0.2500, 0.7500, 0.5000)
Al (0.7500, 0.2500, 0.5000)
Tc (0.5000, 0.5000, 0.0000)